First-principles (PBE) data for crystalline AgAsSe2O at its relaxed geometry, as listed in the Alexandria database.

Properties
* offset from the most stable computed form: 890 meV/atom
* D(E_F): 2.38 states/eV/atom
* M_tot: 0.00 μB per formula unit
* calculated volume: 25.201 Å³/atom
* crystal system: tetragonal

Unit cell a=4.9840 b=4.9840 c=5.0725 alpha=90.00 beta=90.00 gamma=90.00
With the nearest neighbours (Å) after each atom.
Element x y z (fractional)
1 Ag 0.0000 0.0000 0.0000  4 Se 2.49, 2 As 2.54
2 As 0.0000 0.0000 0.5000  2 Ag 2.54
3 Se 0.0000 0.5000 0.0000  2 Ag 2.49
4 Se 0.5000 0.0000 0.0000  2 Ag 2.49
5 O 0.5000 0.5000 0.5000  4 As 3.52, 8 Se 3.56

First-principles (PBE) data for crystalline AgAsSeO6 at its relaxed geometry, as listed in the Alexandria database.

Properties
* D(E_F): 0.17 states/eV/atom
* E_tot: -46.829 eV per cell
* M_tot: 0.00 μB per formula unit
* calculated volume: 12.561 Å³/atom
* crystal system: trigonal

Unit cell a=4.9132 b=4.9132 c=5.4075 alpha=90.00 beta=90.00 gamma=120.00
With the nearest neighbours (Å) after each atom.
Element x y z (fractional)
1 Ag 0.0000 0.0000 0.0000  6 O 2.49
2 As 0.6667 0.3333 0.5000  6 O 1.88
3 Se 0.3333 0.6667 0.5000  6 O 1.85
4 O 0.0042 0.3803 0.6944  1 Se 1.85, 1 As 1.88
5 O 0.0042 0.6239 0.3056  1 Se 1.85, 1 As 1.88
6 O 0.3761 0.3803 0.3056  1 Se 1.85, 1 As 1.88
7 O 0.3761 0.9958 0.6944  1 Se 1.85, 1 As 1.88
8 O 0.6197 0.6239 0.6944  1 Se 1.85, 1 As 1.88
9 O 0.6197 0.9958 0.3056  1 Se 1.85, 1 As 1.88

First-principles (PBE) data for crystalline AgAs2SeO at its relaxed geometry, as listed in the Alexandria database.

Properties
* offset from the most stable computed form: 0 meV/atom
* D(E_F): 0.59 states/eV/atom
* M_tot: 0.00 μB per formula unit
* calculated volume: 18.168 Å³/atom
* crystal system: tetragonal

Unit cell a=4.3299 b=4.3299 c=4.8453 alpha=90.00 beta=90.00 gamma=90.00
With the nearest neighbours (Å) after each atom.
Element x y z (fractional)
1 Ag 0.0000 0.0000 0.0000  4 Se 3.06, 8 As 3.25
2 As 0.0000 0.5000 0.5000  2 O 2.16
3 As 0.5000 0.0000 0.5000  2 O 2.16
4 Se 0.5000 0.5000 0.0000  2 O 2.42
5 O 0.5000 0.5000 0.5000  4 As 2.16, 2 Se 2.42

First-principles (PBE) data for crystalline SiAgAsO6 at its relaxed geometry, as listed in the Alexandria database.

Properties
* D(E_F): 0.59 states/eV/atom
* E_tot: -107.742 eV per cell
* M_tot: 0.00 μB per formula unit
* calculated volume: 10.500 Å³/atom
* crystal system: trigonal

Unit cell a=4.8658 b=4.8658 c=9.2179 alpha=90.00 beta=90.00 gamma=120.00
With the nearest neighbours (Å) after each atom.
Element x y z (fractional)
1 Si 0.3333 0.6667 0.2500  6 O 1.79
2 Si 0.6667 0.3333 0.7500  6 O 1.79
3 Ag 0.0000 0.0000 0.0000  6 O 2.25
4 Ag 0.0000 0.0000 0.5000  6 O 2.25
5 As 0.3333 0.6667 0.7500  6 O 1.85
6 As 0.6667 0.3333 0.2500  6 O 1.85
7 O 0.0087 0.3777 0.1434  1 Si 1.79, 1 As 1.85
8 O 0.0087 0.6310 0.3566  1 Si 1.79, 1 As 1.85
9 O 0.3690 0.3777 0.3566  1 Si 1.79, 1 As 1.85
10 O 0.3690 0.9913 0.1434  1 Si 1.79, 1 As 1.85
11 O 0.3777 0.0087 0.6434  1 Si 1.79, 1 As 1.85
12 O 0.3777 0.3690 0.8566  1 Si 1.79, 1 As 1.85
13 O 0.6223 0.6310 0.1434  1 Si 1.79, 1 As 1.85
14 O 0.6223 0.9913 0.3566  1 Si 1.79, 1 As 1.85
15 O 0.6310 0.0087 0.8566  1 Si 1.79, 1 As 1.85
16 O 0.6310 0.6223 0.6434  1 Si 1.79, 1 As 1.85
17 O 0.9913 0.3690 0.6434  1 Si 1.79, 1 As 1.85
18 O 0.9913 0.6223 0.8566  1 Si 1.79, 1 As 1.85

First-principles (PBE) data for crystalline SmAg2AsO4 at its relaxed geometry, as listed in the Alexandria database.

Properties
* D(E_F): 0.07 states/eV/atom
* E_tot: -44.360 eV per cell
* M_tot: 0.00 μB per formula unit
* calculated volume: 19.276 Å³/atom
* crystal system: tetragonal

Unit cell a=6.0742 b=6.0742 c=6.0742 alpha=121.69 beta=121.69 gamma=87.10
With the nearest neighbours (Å) after each atom.
Element x y z (fractional)
1 Sm 0.0000 0.0000 0.0000  4 O 2.24
2 Ag 0.2500 0.7500 0.5000  4 O 3.03
3 Ag 0.5000 0.5000 0.0000  4 O 2.82
4 As 0.7500 0.2500 0.5000  4 O 1.72
5 O 0.4319 0.2552 0.4152  1 As 1.72
6 O 0.7448 0.1599 0.1767  1 As 1.72
7 O 0.8401 0.0167 0.5848  1 As 1.72
8 O 0.9833 0.5681 0.8233  1 As 1.72

First-principles (PBE) data for crystalline TaAgAsO6 at its relaxed geometry, as listed in the Alexandria database.

Properties
* D(E_F): 0.44 states/eV/atom
* E_tot: -124.755 eV per cell
* M_tot: 0.00 μB per formula unit
* calculated volume: 12.465 Å³/atom
* crystal system: trigonal

Unit cell a=5.1890 b=5.1890 c=9.6219 alpha=90.00 beta=90.00 gamma=120.00
With the nearest neighbours (Å) after each atom.
Element x y z (fractional)
1 Ta 0.3333 0.6667 0.2500  6 O 2.00
2 Ta 0.6667 0.3333 0.7500  6 O 2.00
3 Ag 0.0000 0.0000 0.0000  6 O 2.38
4 Ag 0.0000 0.0000 0.5000  6 O 2.38
5 As 0.3333 0.6667 0.7500  6 O 1.87
6 As 0.6667 0.3333 0.2500  6 O 1.87
7 O 0.0195 0.3840 0.6423  1 As 1.87, 1 Ta 2.00
8 O 0.0195 0.6356 0.8577  1 As 1.87, 1 Ta 2.00
9 O 0.3644 0.3840 0.8577  1 As 1.87, 1 Ta 2.00
10 O 0.3644 0.9805 0.6423  1 As 1.87, 1 Ta 2.00
11 O 0.3840 0.0195 0.1423  1 As 1.87, 1 Ta 2.00
12 O 0.3840 0.3644 0.3577  1 As 1.87, 1 Ta 2.00
13 O 0.6160 0.6356 0.6423  1 As 1.87, 1 Ta 2.00
14 O 0.6160 0.9805 0.8577  1 As 1.87, 1 Ta 2.00
15 O 0.6356 0.0195 0.3577  1 As 1.87, 1 Ta 2.00
16 O 0.6356 0.6160 0.1423  1 As 1.87, 1 Ta 2.00
17 O 0.9805 0.3644 0.1423  1 As 1.87, 1 Ta 2.00
18 O 0.9805 0.6160 0.3577  1 As 1.87, 1 Ta 2.00

First-principles (PBE) data for crystalline TaAgAs2O8 at its relaxed geometry, as listed in the Alexandria database.

Properties
* D(E_F): 0.00 states/eV/atom
* E_tot: -81.127 eV per cell
* M_tot: 0.00 μB per formula unit
* calculated volume: 14.927 Å³/atom
* crystal system: trigonal

Unit cell a=5.4876 b=5.4876 c=6.8684 alpha=90.00 beta=90.00 gamma=120.00
With the nearest neighbours (Å) after each atom.
Element x y z (fractional)
1 Ta 0.0000 0.0000 0.0000  6 O 1.97
2 Ag 0.0000 0.0000 0.5000  6 O 2.76
3 As 0.3333 0.6667 0.7269  4 O 1.66-1.73
4 As 0.6667 0.3333 0.2731  4 O 1.66-1.73
5 O 0.1666 0.3332 0.8285  1 As 1.73
6 O 0.1666 0.8334 0.8285  1 As 1.73
7 O 0.3332 0.1666 0.1715  1 As 1.73
8 O 0.3333 0.6667 0.4855  1 As 1.66
9 O 0.6667 0.3333 0.5145  1 As 1.66
10 O 0.6668 0.8334 0.8285  1 As 1.73
11 O 0.8334 0.1666 0.1715  1 As 1.73
12 O 0.8334 0.6668 0.1715  1 As 1.73

First-principles (PBE) data for crystalline TaAgAsO5 at its relaxed geometry, as listed in the Alexandria database.

Properties
* D(E_F): 0.33 states/eV/atom
* E_tot: -113.220 eV per cell
* M_tot: 0.00 μB per formula unit
* calculated volume: 14.281 Å³/atom
* crystal system: monoclinic

Unit cell a=5.8249 b=5.8249 c=7.7956 alpha=106.91 beta=106.91 gamma=102.62
With the nearest neighbours (Å) after each atom.
Element x y z (fractional)
1 Ta 0.0000 0.0000 0.0000  6 O 1.97-2.04
2 Ta 0.0000 0.0000 0.5000  6 O 1.97-2.04
3 Ag 0.3157 0.6843 0.7500  7 O 2.49-2.76
4 Ag 0.6843 0.3157 0.2500  7 O 2.49-2.76
5 As 0.3123 0.6877 0.2500  4 O 1.79-1.91
6 As 0.6877 0.3123 0.7500  4 O 1.79-1.91
7 O 0.0301 0.9699 0.7500  2 Ta 1.97
8 O 0.1405 0.7097 0.4265  1 As 1.91, 1 Ta 2.04
9 O 0.2481 0.3581 0.1175  1 As 1.79
10 O 0.2903 0.8595 0.0735  1 As 1.91, 1 Ta 2.04
11 O 0.3581 0.2481 0.6175  1 As 1.79
12 O 0.6419 0.7519 0.3825  1 As 1.79
13 O 0.7097 0.1405 0.9265  1 As 1.91, 1 Ta 2.04
14 O 0.7519 0.6419 0.8825  1 As 1.79
15 O 0.8595 0.2903 0.5735  1 As 1.91, 1 Ta 2.04
16 O 0.9699 0.0301 0.2500  2 Ta 1.97

First-principles (PBE) data for crystalline TbAgAs2O8 at its relaxed geometry, as listed in the Alexandria database.

Properties
* D(E_F): 0.75 states/eV/atom
* E_tot: -72.861 eV per cell
* M_tot: 1.69 μB per formula unit
* calculated volume: 13.810 Å³/atom
* crystal system: tetragonal

Unit cell a=6.0061 b=6.0061 c=6.0061 alpha=106.91 beta=106.91 gamma=114.72
With the nearest neighbours (Å) after each atom.
Element x y z (fractional)
1 Tb 0.0000 0.0000 0.0000  8 O 2.32-2.42
2 Ag 0.7500 0.2500 0.5000  8 O 2.35-2.52
3 As 0.2500 0.7500 0.5000  4 O 1.72
4 As 0.5000 0.5000 0.0000  4 O 1.73
5 O 0.0808 0.3963 0.3155  1 As 1.72
6 O 0.0808 0.7652 0.6845  1 As 1.72
7 O 0.1408 0.3181 0.8227  1 As 1.73
8 O 0.2348 0.9192 0.3155  1 As 1.72
9 O 0.4954 0.3181 0.1773  1 As 1.73
10 O 0.6037 0.9192 0.6845  1 As 1.72
11 O 0.6819 0.5046 0.8227  1 As 1.73
12 O 0.6819 0.8592 0.1773  1 As 1.73

First-principles (PBE) data for crystalline TbAg2AsO4 at its relaxed geometry, as listed in the Alexandria database.

Properties
* D(E_F): 0.08 states/eV/atom
* E_tot: -44.474 eV per cell
* M_tot: 0.00 μB per formula unit
* calculated volume: 19.019 Å³/atom
* crystal system: tetragonal

Unit cell a=6.0453 b=6.0453 c=6.0453 alpha=121.64 beta=121.64 gamma=87.18
With the nearest neighbours (Å) after each atom.
Element x y z (fractional)
1 Tb 0.0000 0.0000 0.0000  4 O 2.18
2 Ag 0.2500 0.7500 0.5000  4 O 3.04
3 Ag 0.5000 0.5000 0.0000  4 O 2.88
4 As 0.7500 0.2500 0.5000  4 O 1.72
5 O 0.4250 0.2444 0.3979  1 As 1.72
6 O 0.7556 0.1536 0.1807  1 As 1.72
7 O 0.8464 0.0271 0.6021  1 As 1.72
8 O 0.9729 0.5750 0.8193  1 As 1.72

First-principles (PBE) data for crystalline TcAgAs2O at its relaxed geometry, as listed in the Alexandria database.

Properties
* D(E_F): 0.71 states/eV/atom
* E_tot: -18.770 eV per cell
* M_tot: 4.77 μB per formula unit
* calculated volume: 25.206 Å³/atom
* crystal system: tetragonal

Unit cell a=4.8433 b=4.8433 c=5.3726 alpha=90.00 beta=90.00 gamma=90.00
With the nearest neighbours (Å) after each atom.
Element x y z (fractional)
1 Tc 0.0000 0.0000 0.0000  2 Ag 2.69
2 Ag 0.0000 0.0000 0.5000  4 As 2.42, 2 Tc 2.69
3 As 0.0000 0.5000 0.5000  2 Ag 2.42
4 As 0.5000 0.0000 0.5000  2 Ag 2.42
5 O 0.5000 0.5000 0.0000  4 Tc 3.42, 8 As 3.62

First-principles (PBE) data for crystalline AgTeAs2O8 at its relaxed geometry, as listed in the Alexandria database.

Properties
* D(E_F): 0.42 states/eV/atom
* E_tot: -64.827 eV per cell
* M_tot: 0.40 μB per formula unit
* calculated volume: 15.073 Å³/atom
* crystal system: trigonal

Unit cell a=5.0518 b=5.0518 c=8.1839 alpha=90.00 beta=90.00 gamma=120.00
With the nearest neighbours (Å) after each atom.
Element x y z (fractional)
1 Ag 0.0000 0.0000 0.0000  12 O 2.96-3.25
2 Te 0.0000 0.0000 0.5000  6 O 2.06
3 As 0.3333 0.6667 0.7346  4 O 1.67-1.76
4 As 0.6667 0.3333 0.2654  4 O 1.67-1.76
5 O 0.0225 0.3325 0.6554  1 As 1.76
6 O 0.3099 0.9775 0.6554  1 As 1.76
7 O 0.3325 0.3099 0.3446  1 As 1.76
8 O 0.3333 0.6667 0.9385  1 As 1.67
9 O 0.6667 0.3333 0.0615  1 As 1.67
10 O 0.6675 0.6901 0.6554  1 As 1.76
11 O 0.6901 0.0225 0.3446  1 As 1.76
12 O 0.9775 0.6675 0.3446  1 As 1.76